DFT (PBE-GGA) results for a geometry-optimized NaPr3Sc2Te6 structure.

Structure (POSCAR):
```
NaPr3Sc2Te6
1.0
4.376 0.000 0.000
0.000 8.837 0.310
-2.188 -2.551 9.267
Na Te Sc Pr
1 6 2 3
direct
0.500 0.000 0.000
0.673 0.571 0.347
0.010 0.246 0.020
0.331 0.897 0.662
0.669 0.103 0.338
0.990 0.754 0.980
0.327 0.429 0.653
0.835 0.658 0.671
0.165 0.342 0.329
0.841 0.176 0.683
0.159 0.824 0.317
0.500 0.500 0.000
```

Properties
- DOS at the Fermi energy: 0.41 states/eV per atom
- Calculated total energy: -5.214 eV/atom
- Calculated density: 5.97 g cm⁻³